Record 1
The following is a DFT calculation (PBE) of a relaxed ZnMo2Pb crystal.

Lattice parameters (Å, degrees): 10.3686 10.3686 10.3686 158.08 158.08 31.19
Last column: nearest neighbours and their distance in Å.
Element x y z (fractional)
Zn 0.0000 0.0000 0.0000  4 Pb 2.79, 4 Mo 2.79
Zn 0.7500 0.2500 0.5000  4 Pb 2.79, 4 Mo 2.79
Mo 0.0710 0.6250 0.9460  2 Mo 2.50, 2 Zn 2.79
Mo 0.3750 0.3210 0.4460  2 Mo 2.50, 2 Zn 2.79
Mo 0.6790 0.1250 0.0540  2 Mo 2.50, 2 Zn 2.79
Mo 0.8750 0.9290 0.5540  2 Mo 2.50, 2 Zn 2.79
Pb 0.2500 0.7500 0.5000  4 Zn 2.79, 4 Mo 2.94
Pb 0.5000 0.5000 0.0000  4 Zn 2.79, 4 Mo 2.94

Output
DFT formation energy: 0.719 eV per atom
electronic total energy: -5.94 eV/atom

Record 2
The following is a DFT calculation (PBE) of a relaxed ZnMoPb2 crystal.

Lattice parameters (Å, degrees): 3.0972 3.0972 10.4175 90.00 90.00 105.99
Last column: nearest neighbours and their distance in Å.
Element x y z (fractional)
Zn 0.0000 0.0000 0.0000  4 Zn 3.10, 4 Pb 3.46
Mo 0.0000 0.0000 0.5000  4 Pb 2.96, 4 Mo 3.10
Pb 0.5000 0.5000 0.2795  2 Mo 2.96, 4 Pb 3.10
Pb 0.5000 0.5000 0.7205  2 Mo 2.96, 4 Pb 3.10

Output
DFT formation energy: 0.579 eV per atom
electronic total energy: -4.30 eV/atom

Record 3
The following is a DFT calculation (PBE) of a relaxed ZnMoPb3 crystal.

Lattice parameters (Å, degrees): 5.4145 5.4145 5.4145 90.00 90.00 90.00
Last column: nearest neighbours and their distance in Å.
Element x y z (fractional)
Zn 0.0000 0.0000 0.0000  12 Pb 3.83
Mo 0.5000 0.5000 0.5000  6 Pb 2.71
Pb 0.0000 0.5000 0.5000  2 Mo 2.71
Pb 0.5000 0.0000 0.5000  2 Mo 2.71
Pb 0.5000 0.5000 0.0000  2 Mo 2.71

Output
DFT formation energy: 0.502 eV per atom
electronic total energy: -4.14 eV/atom

Record 4
The following is a DFT calculation (PBE) of a relaxed ZnMoPb4 crystal.

Lattice parameters (Å, degrees): 6.3561 6.3561 6.3561 60.00 60.00 60.00
Last column: nearest neighbours and their distance in Å.
Element x y z (fractional)
Zn 0.0000 0.0000 0.0000  12 Pb 3.73, 4 Mo 3.89
Mo 0.7500 0.7500 0.7500  12 Pb 3.73, 4 Zn 3.89
Pb 0.3755 0.3755 0.3755  6 Pb 3.16-3.19
Pb 0.3755 0.3755 0.8734  6 Pb 3.16-3.19
Pb 0.3755 0.8734 0.3755  6 Pb 3.16-3.19
Pb 0.8734 0.3755 0.3755  6 Pb 3.16-3.19

Output
DFT formation energy: 0.889 eV per atom
electronic total energy: -3.60 eV/atom

Record 5
The following is a DFT calculation (PBE) of a relaxed ZnMo2Pb crystal.

Lattice parameters (Å, degrees): 3.9680 3.9680 4.4656 90.00 90.00 90.00
Last column: nearest neighbours and their distance in Å.
Element x y z (fractional)
Zn 0.0000 0.0000 0.0000  4 Pb 2.81, 8 Mo 2.99
Mo 0.0000 0.5000 0.5000  4 Mo 2.81, 4 Pb 2.99, 4 Zn 2.99
Mo 0.5000 0.0000 0.5000  4 Mo 2.81, 4 Pb 2.99, 4 Zn 2.99
Pb 0.5000 0.5000 0.0000  4 Zn 2.81, 8 Mo 2.99

Output
DFT formation energy: 0.646 eV per atom
electronic total energy: -6.02 eV/atom

Record 6
The following is a DFT calculation (PBE) of a relaxed ZnMoPb2 crystal.

Lattice parameters (Å, degrees): 5.1169 5.1169 5.1169 60.00 60.00 60.00
Last column: nearest neighbours and their distance in Å.
Element x y z (fractional)
Zn 0.0000 0.0000 0.0000  4 Pb 3.13, 4 Mo 3.13
Mo 0.2500 0.2500 0.2500  4 Pb 3.13, 4 Zn 3.13
Pb 0.5000 0.5000 0.5000  4 Pb 3.13, 4 Mo 3.13
Pb 0.7500 0.7500 0.7500  4 Pb 3.13, 4 Zn 3.13

Output
DFT formation energy: 0.835 eV per atom
electronic total energy: -4.05 eV/atom

Record 7
The following is a DFT calculation (PBE) of a relaxed ZnMoPb2 crystal.

Lattice parameters (Å, degrees): 5.4059 5.4059 5.4059 131.28 131.28 71.36
Last column: nearest neighbours and their distance in Å.
Element x y z (fractional)
Zn 0.0000 0.0000 0.0000  8 Pb 3.13, 4 Mo 3.15
Mo 0.5000 0.5000 0.0000  8 Pb 3.13, 4 Zn 3.15
Pb 0.2500 0.7500 0.5000  4 Mo 3.13, 4 Zn 3.13, 4 Pb 3.15
Pb 0.7500 0.2500 0.5000  4 Mo 3.13, 4 Zn 3.13, 4 Pb 3.15

Output
DFT formation energy: 0.660 eV per atom
electronic total energy: -4.22 eV/atom

Record 8
The following is a DFT calculation (PBE) of a relaxed ZnMo2Pb crystal.

Lattice parameters (Å, degrees): 9.3420 9.3420 9.3420 18.54 18.54 18.54
Last column: nearest neighbours and their distance in Å.
Element x y z (fractional)
Zn 0.0000 0.0000 0.0000  6 Mo 2.77, 6 Zn 3.01
Mo 0.2550 0.2550 0.2550  3 Zn 2.77, 3 Pb 2.99, 6 Mo 3.01
Mo 0.7450 0.7450 0.7450  3 Zn 2.77, 3 Pb 2.99, 6 Mo 3.01
Pb 0.5000 0.5000 0.5000  6 Mo 2.99, 6 Pb 3.01

Output
DFT formation energy: 0.716 eV per atom
electronic total energy: -5.94 eV/atom

Record 9
The following is a DFT calculation (PBE) of a relaxed ZnMoPb2 crystal.

Lattice parameters (Å, degrees): 9.1065 9.1065 9.1065 21.53 21.53 21.53
Last column: nearest neighbours and their distance in Å.
Element x y z (fractional)
Zn 0.0000 0.0000 0.0000  6 Pb 3.03
Mo 0.5000 0.5000 0.5000  6 Pb 2.90
Pb 0.2467 0.2467 0.2467  3 Mo 2.90, 3 Zn 3.03
Pb 0.7533 0.7533 0.7533  3 Mo 2.90, 3 Zn 3.03

Output
DFT formation energy: 0.548 eV per atom
electronic total energy: -4.33 eV/atom

Record 10
The following is a DFT calculation (PBE) of a relaxed ZnMoPb2 crystal.

Lattice parameters (Å, degrees): 5.3339 5.3339 5.5404 96.19 96.19 33.99
Last column: nearest neighbours and their distance in Å.
Element x y z (fractional)
Zn 0.0000 0.0000 0.0000  6 Pb 2.96-3.28, 2 Zn 3.12, 4 Mo 3.18
Mo 0.5000 0.5000 0.5000  6 Pb 3.07-3.12, 2 Mo 3.12, 4 Zn 3.18
Pb 0.2386 0.2386 0.7419  3 Zn 2.96-3.28, 3 Mo 3.07-3.12, 6 Pb 3.12-3.24
Pb 0.7614 0.7614 0.2581  3 Zn 2.96-3.28, 3 Mo 3.07-3.12, 6 Pb 3.12-3.24

Output
DFT formation energy: 0.664 eV per atom
electronic total energy: -4.22 eV/atom

Record 11
The following is a DFT calculation (PBE) of a relaxed ZnMo2Pb crystal.

Lattice parameters (Å, degrees): 2.8894 2.8894 8.9239 90.00 90.00 106.17
Last column: nearest neighbours and their distance in Å.
Element x y z (fractional)
Zn 0.0000 0.0000 0.0000  4 Mo 2.69, 4 Zn 2.89
Mo 0.5000 0.5000 0.2305  2 Zn 2.69, 4 Mo 2.89, 2 Pb 2.97
Mo 0.5000 0.5000 0.7695  2 Zn 2.69, 4 Mo 2.89, 2 Pb 2.97
Pb 0.0000 0.0000 0.5000  4 Pb 2.89, 4 Mo 2.97

Output
DFT formation energy: 0.690 eV per atom
electronic total energy: -5.97 eV/atom

Record 12
The following is a DFT calculation (PBE) of a relaxed ZnMoPb2 crystal.

Lattice parameters (Å, degrees): 7.2461 7.2461 7.2461 155.84 141.39 46.06
Last column: nearest neighbours and their distance in Å.
Element x y z (fractional)
Zn 0.0000 0.0000 0.0000  2 Mo 2.74, 2 Zn 3.03
Mo 0.1709 0.6709 0.5000  2 Zn 2.74, 4 Pb 2.84, 2 Mo 3.03
Pb 0.3761 0.3761 0.0000  2 Pb 3.03, 2 Mo 3.13, 4 Zn 3.28
Pb 0.6717 0.1717 0.5000  4 Mo 2.84, 2 Pb 3.03

Output
DFT formation energy: 0.484 eV per atom
electronic total energy: -4.40 eV/atom

Record 13
The following is a DFT calculation (PBE) of a relaxed ZnMoPb2 crystal.

Lattice parameters (Å, degrees): 4.8288 3.4320 5.7434 90.00 112.74 90.00
Last column: nearest neighbours and their distance in Å.
Element x y z (fractional)
Zn 0.0000 0.0000 0.0000  6 Pb 2.95-2.96
Mo 0.0000 0.5000 0.5000  6 Pb 2.95-2.96
Pb 0.5000 0.0000 0.5000  2 Zn 2.95, 4 Mo 2.96
Pb 0.5000 0.5000 0.0000  2 Mo 2.95, 4 Zn 2.96

Output
DFT formation energy: 0.671 eV per atom
electronic total energy: -4.21 eV/atom

Record 14
The following is a DFT calculation (PBE) of a relaxed ZnMoPb2 crystal.

Lattice parameters (Å, degrees): 5.6965 5.6965 5.6965 136.47 136.47 63.25
Last column: nearest neighbours and their distance in Å.
Element x y z (fractional)
Zn 0.0000 0.0000 0.0000  8 Pb 2.99-3.22, 4 Mo 3.22
Mo 0.2500 0.7500 0.5000  8 Pb 2.99-3.22, 4 Zn 3.22
Pb 0.5000 0.5000 0.0000  4 Zn 2.99, 4 Mo 3.22, 4 Pb 3.22
Pb 0.7500 0.2500 0.5000  4 Mo 2.99, 4 Pb 3.22, 4 Zn 3.22

Output
DFT formation energy: 0.659 eV per atom
electronic total energy: -4.22 eV/atom

Record 15
The following is a DFT calculation (PBE) of a relaxed ZnMo2Pb crystal.

Lattice parameters (Å, degrees): 4.8751 4.8751 5.1473 95.97 95.97 36.37
Last column: nearest neighbours and their distance in Å.
Element x y z (fractional)
Zn 0.0000 0.0000 0.0000  3 Pb 2.75-3.01, 5 Mo 2.75-2.86, 2 Zn 3.04
Mo 0.4952 0.4952 0.4447  1 Mo 2.60, 2 Zn 2.75
Mo 0.7396 0.7396 0.2395  1 Mo 2.60, 3 Zn 2.83-2.86
Pb 0.2433 0.2433 0.7382  3 Zn 2.75-3.01, 7 Mo 2.92-3.02, 2 Pb 3.04

Output
DFT formation energy: 0.591 eV per atom
electronic total energy: -6.07 eV/atom

Record 16
The following is a DFT calculation (PBE) of a relaxed ZnMo2Pb crystal.

Lattice parameters (Å, degrees): 4.6088 4.6088 4.6088 60.00 60.00 60.00
Last column: nearest neighbours and their distance in Å.
Element x y z (fractional)
Zn 0.0000 0.0000 0.0000  8 Mo 2.82
Mo 0.2500 0.2500 0.2500  4 Pb 2.82, 4 Zn 2.82
Mo 0.7500 0.7500 0.7500  4 Pb 2.82, 4 Zn 2.82
Pb 0.5000 0.5000 0.5000  8 Mo 2.82

Output
DFT formation energy: 0.719 eV per atom
electronic total energy: -5.94 eV/atom

Record 17
The following is a DFT calculation (PBE) of a relaxed ZnMo2Pb crystal.

Lattice parameters (Å, degrees): 4.9964 4.9964 4.9501 99.07 99.07 38.25
Last column: nearest neighbours and their distance in Å.
Element x y z (fractional)
Zn 0.0000 0.0000 0.0000  6 Mo 2.70-2.87, 4 Pb 2.97
Mo 0.2533 0.2533 0.8127  2 Mo 2.48, 1 Zn 2.70
Mo 0.7467 0.7467 0.1873  2 Mo 2.48, 1 Zn 2.70
Pb 0.5000 0.5000 0.5000  4 Zn 2.97, 6 Mo 3.00-3.09, 2 Pb 3.27

Output
DFT formation energy: 0.482 eV per atom
electronic total energy: -6.18 eV/atom

Record 18
The following is a DFT calculation (PBE) of a relaxed ZnMo2Pb crystal.

Lattice parameters (Å, degrees): 5.4102 5.4102 2.9111 100.53 100.53 116.81
Last column: nearest neighbours and their distance in Å.
Element x y z (fractional)
Zn 0.0000 0.0000 0.0000  4 Mo 2.83, 2 Pb 2.83, 2 Zn 2.91
Mo 0.0000 0.5000 0.5000  2 Pb 2.83, 2 Zn 2.83, 4 Mo 2.83-2.91
Mo 0.5000 0.0000 0.5000  2 Pb 2.83, 2 Zn 2.83, 4 Mo 2.83-2.91
Pb 0.5000 0.5000 0.0000  4 Mo 2.83, 2 Zn 2.83, 2 Pb 2.91

Output
DFT formation energy: 0.623 eV per atom
electronic total energy: -6.04 eV/atom

Record 19
The following is a DFT calculation (PBE) of a relaxed ZnMoPb2 crystal.

Lattice parameters (Å, degrees): 6.3773 6.3773 6.3773 103.24 103.24 122.81
Last column: nearest neighbours and their distance in Å.
Element x y z (fractional)
Zn 0.0000 0.0000 0.0000  4 Pb 2.86, 2 Mo 3.05
Zn 0.7500 0.2500 0.5000  4 Pb 2.86, 2 Mo 3.05
Mo 0.2500 0.7500 0.5000  4 Pb 2.94, 2 Zn 3.05
Mo 0.5000 0.5000 0.0000  4 Pb 2.94, 2 Zn 3.05
Pb 0.1171 0.1250 0.4921  2 Zn 2.86, 2 Mo 2.94, 2 Pb 3.06
Pb 0.3750 0.8829 0.0079  2 Zn 2.86, 2 Mo 2.94, 2 Pb 3.06
Pb 0.6329 0.6250 0.5079  2 Zn 2.86, 2 Mo 2.94, 2 Pb 3.06
Pb 0.8750 0.3671 0.9921  2 Zn 2.86, 2 Mo 2.94, 2 Pb 3.06

Output
DFT formation energy: 0.870 eV per atom
electronic total energy: -4.01 eV/atom

Record 20
The following is a DFT calculation (PBE) of a relaxed ZnMoPb2 crystal.

Lattice parameters (Å, degrees): 3.7506 4.2784 5.6963 90.00 108.83 90.00
Last column: nearest neighbours and their distance in Å.
Element x y z (fractional)
Zn 0.0000 0.0000 0.0000  2 Mo 2.66, 5 Pb 2.94-2.96
Mo 0.1479 0.5000 0.2927  2 Zn 2.66, 4 Pb 2.97
Pb 0.4315 0.5000 0.8547  4 Zn 2.94-2.96, 3 Mo 3.01-3.03
Pb 0.7237 0.0000 0.4502  3 Zn 2.96-3.07, 4 Mo 2.97

Output
DFT formation energy: 0.426 eV per atom
electronic total energy: -4.45 eV/atom